Record 1
This record from the Alexandria database describes a geometry-optimized Pm2Pr6DyEr structure. The functional is PBE.

## Properties
**Fermi-level density of states**: 1.46 states/eV/atom
**ΔH_f (0 K)**: 0.113 eV/atom

Cell: 9.0387 9.0387 9.8357 Å, 94.23 94.23 118.04°
Closest atoms and distances in Å follow each position.
Positions (direct):
Pm: 0.1972 0.2959 0.0438  5 Pr 3.31-3.53, 2 Dy 3.45-3.46, 1 Er 3.60
Pm: 0.2959 0.1972 0.5438  5 Pr 3.31-3.53, 2 Dy 3.45-3.46, 1 Er 3.60
Pm: 0.7041 0.8028 0.4562  5 Pr 3.31-3.53, 2 Dy 3.45-3.46, 1 Er 3.60
Pm: 0.8028 0.7041 0.9562  5 Pr 3.31-3.53, 2 Dy 3.45-3.46, 1 Er 3.60
Pr: 0.0109 0.5697 0.1905  3 Pr 3.36-3.69, 1 Er 3.49, 1 Pm 3.50, 1 Dy 3.64
Pr: 0.1195 0.7579 0.5537  7 Pr 3.49-3.87, 1 Pm 3.53, 1 Dy 3.70
Pr: 0.2421 0.8805 0.9463  7 Pr 3.49-3.87, 1 Pm 3.53, 1 Dy 3.70
Pr: 0.2927 0.5037 0.3820  3 Pm 3.31-3.53, 3 Pr 3.36-3.49, 2 Er 3.48-3.62
Pr: 0.4303 0.9891 0.3095  3 Pr 3.36-3.69, 1 Er 3.49, 1 Pm 3.50, 1 Dy 3.64
Pr: 0.4963 0.7073 0.1180  3 Pm 3.31-3.53, 3 Pr 3.36-3.49, 2 Er 3.48-3.62
Pr: 0.5037 0.2927 0.8820  3 Pm 3.31-3.53, 3 Pr 3.36-3.49, 2 Er 3.48-3.62
Pr: 0.5697 0.0109 0.6905  3 Pr 3.36-3.69, 1 Er 3.49, 1 Pm 3.50, 1 Dy 3.64
Pr: 0.7073 0.4963 0.6180  3 Pm 3.31-3.53, 3 Pr 3.36-3.49, 2 Er 3.48-3.62
Pr: 0.7579 0.1195 0.0537  7 Pr 3.49-3.87, 1 Pm 3.53, 1 Dy 3.70
Pr: 0.8805 0.2421 0.4463  7 Pr 3.49-3.87, 1 Pm 3.53, 1 Dy 3.70
Pr: 0.9891 0.4303 0.8095  3 Pr 3.36-3.69, 1 Er 3.49, 1 Pm 3.50, 1 Dy 3.64
Dy: 0.0227 0.9773 0.2500  4 Pm 3.45-3.46, 4 Pr 3.64-3.70
Dy: 0.9773 0.0227 0.7500  4 Pm 3.45-3.46, 4 Pr 3.64-3.70
Er: 0.4100 0.5900 0.7500  6 Pr 3.48-3.62, 2 Pm 3.60
Er: 0.5900 0.4100 0.2500  6 Pr 3.48-3.62, 2 Pm 3.60

***

Record 2
This record from the Alexandria database describes a geometry-optimized Pm2PrDyEr structure. The functional is PBE.

## Properties
**Fermi-level density of states**: 1.18 states/eV/atom
**ΔH_f (0 K)**: 0.281 eV/atom

Cell: 8.4052 6.6059 6.2390 Å, 90.00 93.79 90.00°
Closest atoms and distances in Å follow each position.
Positions (direct):
Pm: 0.1904 0.1905 0.2712  1 Dy 3.12, 1 Pm 3.19
Pm: 0.1904 0.8095 0.7712  1 Dy 3.12, 1 Pm 3.19
Pm: 0.8096 0.1905 0.2288  1 Dy 3.12, 1 Pm 3.19
Pm: 0.8096 0.8095 0.7288  1 Dy 3.12, 1 Pm 3.19
Pr: 0.5000 0.5000 0.0000  2 Pr 3.12, 2 Dy 3.25
Pr: 0.5000 0.5000 0.5000  2 Pr 3.12, 2 Dy 3.25
Dy: 0.5000 0.0679 0.7500  2 Pm 3.12, 2 Dy 3.25, 2 Pr 3.25
Dy: 0.5000 0.9321 0.2500  2 Pm 3.12, 2 Dy 3.25, 2 Pr 3.25
Er: 0.0000 0.3381 0.7500  8 Pm 3.50-3.84, 2 Er 3.78
Er: 0.0000 0.6619 0.2500  8 Pm 3.50-3.84, 2 Er 3.78

***

Record 3
This record from the Alexandria database describes a geometry-optimized PmPr2Dy5Er structure. The functional is PBE.

## Properties
**Fermi-level density of states**: 1.21 states/eV/atom
**ΔH_f (0 K)**: 0.268 eV/atom

Cell: 9.9765 9.9765 9.9765 Å, 128.28 128.28 76.17°
Closest atoms and distances in Å follow each position.
Positions (direct):
Pm: 0.2500 0.2500 0.0000  10 Dy 3.56-3.93
Pm: 0.7500 0.7500 0.0000  10 Dy 3.56-3.93
Pr: 0.1180 0.6180 0.7361  1 Pr 2.91, 2 Dy 3.03
Pr: 0.3820 0.1180 0.5000  1 Pr 2.91, 2 Dy 3.03
Pr: 0.6180 0.8820 0.5000  1 Pr 2.91, 2 Dy 3.03
Pr: 0.8820 0.3820 0.2639  1 Pr 2.91, 2 Dy 3.03
Dy: 0.0000 0.0000 0.0000  4 Pr 3.48, 8 Dy 3.81
Dy: 0.0721 0.1482 0.5000  1 Pr 3.03, 1 Er 3.13
Dy: 0.1482 0.6482 0.0761  1 Pr 3.03, 1 Er 3.13
Dy: 0.3518 0.4279 0.5000  1 Pr 3.03, 1 Er 3.13
Dy: 0.4279 0.9279 0.0761  1 Pr 3.03, 1 Er 3.13
Dy: 0.5000 0.5000 0.0000  4 Pr 3.48, 8 Dy 3.81
Dy: 0.5721 0.0721 0.9239  1 Pr 3.03, 1 Er 3.13
Dy: 0.6482 0.5721 0.5000  1 Pr 3.03, 1 Er 3.13
Dy: 0.8518 0.3518 0.9239  1 Pr 3.03, 1 Er 3.13
Dy: 0.9279 0.8518 0.5000  1 Pr 3.03, 1 Er 3.13
Er: 0.2500 0.7500 0.5000  4 Dy 3.13
Er: 0.7500 0.2500 0.5000  4 Dy 3.13

***

Record 4
This record from the Alexandria database describes a geometry-optimized PmPr2Dy2Er structure. The functional is PBE.

## Properties
**Fermi-level density of states**: 1.48 states/eV/atom
**ΔH_f (0 K)**: 0.068 eV/atom

Cell: 7.0405 5.7100 9.9200 Å, 90.00 90.00 90.00°
Closest atoms and distances in Å follow each position.
Positions (direct):
Pm: 0.0000 0.0000 0.0000  2 Pm 3.52, 2 Pr 3.71, 4 Er 3.73, 6 Dy 3.74-3.76
Pm: 0.5000 0.0000 0.0000  2 Pm 3.52, 2 Pr 3.71, 4 Er 3.73, 6 Dy 3.74-3.76
Pr: 0.0000 0.5000 0.5000  6 Pr 3.52-3.76, 6 Dy 3.73-3.75, 2 Er 3.77
Pr: 0.2500 0.0000 0.3290  5 Dy 3.28-3.52
Pr: 0.5000 0.5000 0.5000  6 Pr 3.52-3.76, 6 Dy 3.73-3.75, 2 Er 3.77
Pr: 0.7500 0.0000 0.6710  5 Dy 3.28-3.52
Dy: 0.2500 0.0000 0.6656  2 Er 3.32, 3 Pr 3.34-3.52
Dy: 0.2500 0.5000 0.1667  3 Er 3.28-3.52, 2 Pr 3.28
Dy: 0.7500 0.0000 0.3344  2 Er 3.32, 3 Pr 3.34-3.52
Dy: 0.7500 0.5000 0.8333  3 Er 3.28-3.52, 2 Pr 3.28
Er: 0.2500 0.5000 0.8365  5 Dy 3.28-3.52
Er: 0.7500 0.5000 0.1635  5 Dy 3.28-3.52

***

Record 5
This record from the Alexandria database describes a geometry-optimized Pm2Pr5DyEr structure. The functional is PBE.

## Properties
**Fermi-level density of states**: 1.57 states/eV/atom
**ΔH_f (0 K)**: 0.280 eV/atom

Cell: 10.4555 10.4555 10.4555 Å, 131.14 131.14 71.59°
Closest atoms and distances in Å follow each position.
Positions (direct):
Pm: 0.1219 0.6219 0.7438  1 Pm 2.98, 2 Pr 3.12
Pm: 0.3781 0.1219 0.5000  1 Pm 2.98, 2 Pr 3.12
Pm: 0.6219 0.8781 0.5000  1 Pm 2.98, 2 Pr 3.12
Pm: 0.8781 0.3781 0.2562  1 Pm 2.98, 2 Pr 3.12
Pr: 0.0000 0.0000 0.0000  4 Pm 3.44
Pr: 0.0745 0.1390 0.5000  1 Pm 3.12, 1 Er 3.22
Pr: 0.1390 0.6390 0.0645  1 Pm 3.12, 1 Er 3.22
Pr: 0.3610 0.4255 0.5000  1 Pm 3.12, 1 Er 3.22
Pr: 0.4255 0.9255 0.0645  1 Pm 3.12, 1 Er 3.22
Pr: 0.5000 0.5000 0.0000  4 Pm 3.44
Pr: 0.5745 0.0745 0.9355  1 Pm 3.12, 1 Er 3.22
Pr: 0.6390 0.5745 0.5000  1 Pm 3.12, 1 Er 3.22
Pr: 0.8610 0.3610 0.9355  1 Pm 3.12, 1 Er 3.22
Pr: 0.9255 0.8610 0.5000  1 Pm 3.12, 1 Er 3.22
Dy: 0.2500 0.2500 0.0000  8 Pr 3.58
Dy: 0.7500 0.7500 0.0000  8 Pr 3.58
Er: 0.2500 0.7500 0.5000  4 Pr 3.22
Er: 0.7500 0.2500 0.5000  4 Pr 3.22

***

Record 6
This record from the Alexandria database describes a geometry-optimized Pm5Pr2DyEr structure. The functional is PBE.

## Properties
**Fermi-level density of states**: 1.48 states/eV/atom
**ΔH_f (0 K)**: 0.271 eV/atom

Cell: 10.3083 10.3083 10.3083 Å, 130.45 130.45 72.70°
Closest atoms and distances in Å follow each position.
Positions (direct):
Pm: 0.0000 0.0000 0.0000  4 Pr 3.44
Pm: 0.0741 0.5741 0.9352  1 Pr 3.09, 1 Er 3.19
Pm: 0.1390 0.0741 0.5000  1 Pr 3.09, 1 Er 3.19
Pm: 0.3610 0.8610 0.9352  1 Pr 3.09, 1 Er 3.19
Pm: 0.4259 0.3610 0.5000  1 Pr 3.09, 1 Er 3.19
Pm: 0.5000 0.5000 0.0000  4 Pr 3.44
Pm: 0.5741 0.6390 0.5000  1 Pr 3.09, 1 Er 3.19
Pm: 0.6390 0.1390 0.0648  1 Pr 3.09, 1 Er 3.19
Pm: 0.8610 0.9259 0.5000  1 Pr 3.09, 1 Er 3.19
Pm: 0.9259 0.4259 0.0648  1 Pr 3.09, 1 Er 3.19
Pr: 0.1214 0.3786 0.5000  1 Pr 2.97, 2 Pm 3.09
Pr: 0.3786 0.8786 0.2571  1 Pr 2.97, 2 Pm 3.09
Pr: 0.6214 0.1214 0.7429  1 Pr 2.97, 2 Pm 3.09
Pr: 0.8786 0.6214 0.5000  1 Pr 2.97, 2 Pm 3.09
Dy: 0.2500 0.2500 0.0000  8 Pm 3.55
Dy: 0.7500 0.7500 0.0000  8 Pm 3.55
Er: 0.2500 0.7500 0.5000  4 Pm 3.19
Er: 0.7500 0.2500 0.5000  4 Pm 3.19

***

Record 7
This record from the Alexandria database describes a geometry-optimized Pm4Pr2Dy2Er structure. The functional is PBE.

## Properties
**Fermi-level density of states**: 1.28 states/eV/atom
**ΔH_f (0 K)**: 0.007 eV/atom

Cell: 9.6466 9.6466 9.7150 Å, 115.12 115.12 21.89°
Closest atoms and distances in Å follow each position.
Positions (direct):
Pm: 0.0186 0.0186 0.3337  1 Pr 3.58, 4 Dy 3.59-3.64, 5 Pm 3.59-3.66, 2 Er 3.61
Pm: 0.3142 0.3142 0.6662  6 Pm 3.59-3.66, 3 Dy 3.60-3.65, 1 Er 3.61, 2 Pr 3.61
Pm: 0.6858 0.6858 0.3338  6 Pm 3.59-3.66, 3 Dy 3.60-3.65, 1 Er 3.61, 2 Pr 3.61
Pm: 0.9814 0.9814 0.6663  1 Pr 3.58, 4 Dy 3.59-3.64, 5 Pm 3.59-3.66, 2 Er 3.61
Pr: 0.1651 0.1651 0.9977  3 Pm 3.58-3.61, 3 Dy 3.60-3.64, 2 Er 3.63, 4 Pr 3.66-3.68
Pr: 0.8349 0.8349 0.0023  3 Pm 3.58-3.61, 3 Dy 3.60-3.64, 2 Er 3.63, 4 Pr 3.66-3.68
Dy: 0.3526 0.3526 0.3346  7 Pm 3.59-3.65, 3 Pr 3.60-3.64, 2 Dy 3.66
Dy: 0.6474 0.6474 0.6654  7 Pm 3.59-3.65, 3 Pr 3.60-3.64, 2 Dy 3.66
Er: 0.5000 0.5000 0.0000  6 Pm 3.61, 4 Pr 3.63, 2 Er 3.66

***

Record 8
This record from the Alexandria database describes a geometry-optimized PmPr2Dy3Er6 structure. The functional is PBE.

## Properties
**Fermi-level density of states**: 1.27 states/eV/atom
**ΔH_f (0 K)**: 0.021 eV/atom

Cell: 6.1766 6.1766 11.7428 Å, 95.02 95.02 119.97°
Closest atoms and distances in Å follow each position.
Positions (direct):
Pm: 0.0000 0.0000 0.0000  6 Pr 3.57, 6 Er 3.58-3.59
Pr: 0.3333 0.6667 0.0000  3 Pr 3.57, 3 Pm 3.57, 6 Er 3.58-3.59
Pr: 0.6667 0.3333 0.0000  3 Pr 3.57, 3 Pm 3.57, 6 Er 3.58-3.59
Dy: 0.1666 0.8334 0.5000  6 Er 3.51, 6 Dy 3.56-3.57
Dy: 0.5000 0.5000 0.5000  6 Er 3.51-3.52, 6 Dy 3.57
Dy: 0.8334 0.1666 0.5000  6 Er 3.51, 6 Dy 3.56-3.57
Er: 0.0851 0.4182 0.2538  3 Dy 3.51, 6 Er 3.56-3.57, 2 Pr 3.58-3.59, 1 Pm 3.59
Er: 0.2478 0.2478 0.7462  3 Dy 3.51-3.52, 6 Er 3.56-3.57, 1 Pm 3.58, 2 Pr 3.59
Er: 0.4182 0.0851 0.2538  3 Dy 3.51, 6 Er 3.56-3.57, 2 Pr 3.58-3.59, 1 Pm 3.59
Er: 0.5818 0.9149 0.7462  3 Dy 3.51, 6 Er 3.56-3.57, 2 Pr 3.58-3.59, 1 Pm 3.59
Er: 0.7522 0.7522 0.2538  3 Dy 3.51-3.52, 6 Er 3.56-3.57, 1 Pm 3.58, 2 Pr 3.59
Er: 0.9149 0.5818 0.7462  3 Dy 3.51, 6 Er 3.56-3.57, 2 Pr 3.58-3.59, 1 Pm 3.59

***

Record 9
This record from the Alexandria database describes a geometry-optimized Pm6PrDy2Er3 structure. The functional is PBE.

## Properties
**Fermi-level density of states**: 1.20 states/eV/atom
**ΔH_f (0 K)**: 0.015 eV/atom

Cell: 6.2477 6.2477 11.8768 Å, 95.02 95.02 119.99°
Closest atoms and distances in Å follow each position.
Positions (direct):
Pm: 0.0811 0.4153 0.2471  3 Er 3.56, 6 Pm 3.60-3.62, 2 Dy 3.61-3.62, 1 Pr 3.62
Pm: 0.2506 0.2506 0.7528  3 Er 3.56-3.57, 6 Pm 3.60-3.62, 2 Dy 3.62, 1 Pr 3.62
Pm: 0.4153 0.0811 0.2471  3 Er 3.56, 6 Pm 3.60-3.62, 2 Dy 3.61-3.62, 1 Pr 3.62
Pm: 0.5847 0.9189 0.7529  3 Er 3.56, 6 Pm 3.60-3.62, 2 Dy 3.61-3.62, 1 Pr 3.62
Pm: 0.7494 0.7494 0.2472  3 Er 3.56-3.57, 6 Pm 3.60-3.62, 2 Dy 3.62, 1 Pr 3.62
Pm: 0.9189 0.5847 0.7529  3 Er 3.56, 6 Pm 3.60-3.62, 2 Dy 3.61-3.62, 1 Pr 3.62
Pr: 0.5000 0.5000 0.5000  6 Dy 3.61, 6 Pm 3.62
Dy: 0.1666 0.8334 0.5000  3 Dy 3.61, 3 Pr 3.61, 6 Pm 3.61-3.62
Dy: 0.8334 0.1666 0.5000  3 Dy 3.61, 3 Pr 3.61, 6 Pm 3.61-3.62
Er: 0.0000 0.0000 0.0000  6 Pm 3.56, 6 Er 3.61
Er: 0.3332 0.6668 0.0000  6 Pm 3.56-3.57, 6 Er 3.61
Er: 0.6668 0.3332 0.0000  6 Pm 3.56-3.57, 6 Er 3.61